# MnVCd2O6

MnVCd2O6 after structural relaxation (PBE+U, Alexandria).

Results
M_tot = 4.0 μB per formula unit
Total DFT energy (no corrections) = -5.92 eV per atom
SG = P4mm (99)
DOS at the Fermi energy = 0.7 states/eV per cell

a b c (Å): 4.7523 5.1739 5.1739
angles (deg): 90.00 90.00 90.00
Each line ends with the local moment (μB).
Atoms (fractional coordinates):
O 0.2217 0.0000 0.0000  -0.02
O 0.6986 0.2423 0.7577  -0.03
O 0.6986 0.2423 0.2423  -0.03
O 0.6986 0.7577 0.2423  -0.03
O 0.6986 0.7577 0.7577  -0.03
O 0.1777 0.5000 0.5000  0.07
V 0.5827 0.0000 0.0000  0.12
Cd 0.0296 0.0000 0.5000  0.01
Cd 0.0296 0.5000 0.0000  0.01
Mn 0.6111 0.5000 0.5000  3.77